# 1
Compound: TiReIr2F
Source: Alexandria via LeMat-Bulk
Functional: GGA-PBE
Structure: optimized geometry

a b c (Å): 4.7972 4.7972 3.8681
angles (deg): 90.00 90.00 90.00
Closest atoms and distances in Å follow each position.
Fractional coordinates of all 5 atoms:
1 Ti 0.0000 0.0000 0.0000  8 Ir 3.08, 4 F 3.39
2 Re 0.5000 0.5000 0.5000  2 F 1.93
3 Ir 0.0000 0.5000 0.5000  2 Re 2.40
4 Ir 0.5000 0.0000 0.5000  2 Re 2.40
5 F 0.5000 0.5000 0.0000  2 Re 1.93

***

# 2
Compound: Ir2RhF
Source: Alexandria via LeMat-Bulk
Functional: GGA-PBE
Structure: optimized geometry

Summary:
energy above the lowest structure with this stoichiometry: 0.737 eV/f.u.

a b c (Å): 6.6062 6.6062 5.2091
angles (deg): 90.00 90.00 90.00
Closest atoms and distances in Å follow each position.
Fractional coordinates of all 16 atoms:
1 Ir 0.2157 0.2500 0.1250  2 F 2.28
2 Ir 0.2500 0.7157 0.3750  2 F 2.28
3 Ir 0.2500 0.7843 0.8750  2 F 2.28
4 Ir 0.2843 0.2500 0.6250  2 F 2.28
5 Ir 0.7157 0.7500 0.6250  2 F 2.28
6 Ir 0.7500 0.2157 0.8750  2 F 2.28
7 Ir 0.7500 0.2843 0.3750  2 F 2.28
8 Ir 0.7843 0.7500 0.1250  2 F 2.28
9 Rh 0.0000 0.0000 0.5000  4 Ir 2.58, 2 F 2.60
10 Rh 0.0000 0.5000 0.7500  4 Ir 2.58, 2 F 2.60
11 Rh 0.5000 0.0000 0.2500  4 Ir 2.58, 2 F 2.60
12 Rh 0.5000 0.5000 0.0000  4 Ir 2.58, 2 F 2.60
13 F 0.0000 0.0000 0.0000  4 Ir 2.28
14 F 0.0000 0.5000 0.2500  4 Ir 2.28
15 F 0.5000 0.0000 0.7500  4 Ir 2.28
16 F 0.5000 0.5000 0.5000  4 Ir 2.28

***

# 3
Compound: IrRhF2
Source: Alexandria via LeMat-Bulk
Functional: GGA-PBE
Structure: optimized geometry

Summary:
energy above the lowest structure with this stoichiometry: 3.600 eV/f.u.

a b c (Å): 5.9112 5.9112 5.9112
angles (deg): 90.00 90.00 90.00
Closest atoms and distances in Å follow each position.
Fractional coordinates of all 16 atoms:
1 Ir 0.0000 0.0000 0.0000  8 F 2.56
2 Ir 0.0000 0.5000 0.5000  8 F 2.56
3 Ir 0.5000 0.0000 0.5000  8 F 2.56
4 Ir 0.5000 0.5000 0.0000  8 F 2.56
5 Rh 0.0000 0.0000 0.5000  8 F 2.56
6 Rh 0.0000 0.5000 0.0000  8 F 2.56
7 Rh 0.5000 0.0000 0.0000  8 F 2.56
8 Rh 0.5000 0.5000 0.5000  8 F 2.56
9 F 0.2500 0.2500 0.2500  4 Rh 2.56, 4 Ir 2.56
10 F 0.2500 0.2500 0.7500  4 Ir 2.56, 4 Rh 2.56
11 F 0.2500 0.7500 0.2500  4 Ir 2.56, 4 Rh 2.56
12 F 0.2500 0.7500 0.7500  4 Ir 2.56, 4 Rh 2.56
13 F 0.7500 0.2500 0.2500  4 Ir 2.56, 4 Rh 2.56
14 F 0.7500 0.2500 0.7500  4 Ir 2.56, 4 Rh 2.56
15 F 0.7500 0.7500 0.2500  4 Ir 2.56, 4 Rh 2.56
16 F 0.7500 0.7500 0.7500  4 Rh 2.56, 4 Ir 2.56

***

# 4
Compound: IrRhF2
Source: Alexandria via LeMat-Bulk
Functional: GGA-PBE
Structure: optimized geometry

Summary:
energy above the lowest structure with this stoichiometry: 0.000 eV/f.u.

a b c (Å): 2.6946 2.6946 24.3105
angles (deg): 90.00 90.00 120.00
Closest atoms and distances in Å follow each position.
Fractional coordinates of all 12 atoms:
1 Ir 0.0000 0.0000 0.0000  2 F 1.99
2 Ir 0.3333 0.6667 0.6667  2 F 1.99
3 Ir 0.6667 0.3333 0.3333  2 F 1.99
4 Rh 0.0000 0.0000 0.5000  6 F 2.58, 6 Rh 2.69
5 Rh 0.3333 0.6667 0.1667  6 F 2.58, 6 Rh 2.69
6 Rh 0.6667 0.3333 0.8333  6 F 2.58, 6 Rh 2.69
7 F 0.0000 0.0000 0.0819  1 Ir 1.99
8 F 0.0000 0.0000 0.9181  1 Ir 1.99
9 F 0.3333 0.6667 0.5848  1 Ir 1.99
10 F 0.3333 0.6667 0.7485  1 Ir 1.99
11 F 0.6667 0.3333 0.2515  1 Ir 1.99
12 F 0.6667 0.3333 0.4152  1 Ir 1.99

***

# 5
Compound: Ir2RhF
Source: Alexandria via LeMat-Bulk
Functional: GGA-PBE
Structure: optimized geometry

Summary:
energy above the lowest structure with this stoichiometry: 0.000 eV/f.u.

a b c (Å): 6.0279 6.0279 6.0279
angles (deg): 90.00 90.00 90.00
Closest atoms and distances in Å follow each position.
Fractional coordinates of all 16 atoms:
1 Ir 0.2500 0.2500 0.2500  4 F 2.61, 4 Rh 2.61
2 Ir 0.2500 0.2500 0.7500  4 F 2.61, 4 Rh 2.61
3 Ir 0.2500 0.7500 0.2500  4 F 2.61, 4 Rh 2.61
4 Ir 0.2500 0.7500 0.7500  4 F 2.61, 4 Rh 2.61
5 Ir 0.7500 0.2500 0.2500  4 F 2.61, 4 Rh 2.61
6 Ir 0.7500 0.2500 0.7500  4 F 2.61, 4 Rh 2.61
7 Ir 0.7500 0.7500 0.2500  4 F 2.61, 4 Rh 2.61
8 Ir 0.7500 0.7500 0.7500  4 F 2.61, 4 Rh 2.61
9 Rh 0.0000 0.0000 0.0000  8 Ir 2.61
10 Rh 0.0000 0.5000 0.5000  8 Ir 2.61
11 Rh 0.5000 0.0000 0.5000  8 Ir 2.61
12 Rh 0.5000 0.5000 0.0000  8 Ir 2.61
13 F 0.0000 0.0000 0.5000  8 Ir 2.61
14 F 0.0000 0.5000 0.0000  8 Ir 2.61
15 F 0.5000 0.0000 0.0000  8 Ir 2.61
16 F 0.5000 0.5000 0.5000  8 Ir 2.61

***

# 6
Compound: Ir3RhF
Source: Alexandria via LeMat-Bulk
Functional: GGA-PBE
Structure: optimized geometry

Summary:
energy above the lowest structure with this stoichiometry: 3.365 eV/f.u.

a b c (Å): 4.7370 4.7370 4.7370
angles (deg): 90.00 90.00 90.00
Closest atoms and distances in Å follow each position.
Fractional coordinates of all 5 atoms:
1 Ir 0.0000 0.0000 0.5000  2 Rh 2.37
2 Ir 0.0000 0.5000 0.0000  2 Rh 2.37
3 Ir 0.5000 0.0000 0.0000  2 Rh 2.37
4 Rh 0.0000 0.0000 0.0000  6 Ir 2.37
5 F 0.5000 0.5000 0.5000  12 Ir 3.35

***

Ρ
In order: 11.89, 14.79, 10.71, 10.86, 15.35, 10.91
Unit: g/cm3
Total magnetic moment
In order: 0.0, 0.0, 3.9, 1.4, 0.0, 2.1
Unit: μB/f.u.
Raw formation energy
In order: 450, 591, 475, -425, 407, 2040
Unit: meV/atom